A plane-wave DFT calculation with PBE was carried out for CaAgF3 after structural relaxation.

Unit cell a=4.4158 b=4.4158 c=4.4158 alpha=90.00 beta=90.00 gamma=90.00
Fractional positions:
F  0.0000  0.5000  0.0000
F  0.5000  0.0000  0.0000
F  0.0000  0.0000  0.5000
Ag  0.5000  0.5000  0.5000
Ca  0.0000  0.0000  0.0000

Results
Formation energy (no corrections), eV per formula unit: -12.90
Crystal system: cubic

A plane-wave DFT calculation with PBE was carried out for TbTm2Ni after structural relaxation.

Unit cell a=3.6207 b=3.6207 c=9.5705 alpha=79.10 beta=79.10 gamma=60.00
Fractional positions:
Tb  0.5000  0.5000  0.5000
Tm  0.7269  0.7269  0.8192
Tm  0.2731  0.2731  0.1808
Ni  0.0000  0.0000  0.0000

Results
Crystal system: trigonal
DFT formation energy, eV/atom: -0.10

A plane-wave DFT calculation with PBE was carried out for TbPrDy5Er2 after structural relaxation.

Unit cell a=5.5935 b=10.2880 c=10.6508 alpha=90.00 beta=90.00 gamma=105.77
Fractional positions:
Dy  0.6055  0.2110  0.5245
Dy  0.3945  0.7890  0.0245
Dy  0.9823  0.9647  0.5273
Dy  0.4780  0.9560  0.7374
Dy  0.0177  0.0353  0.0273
Dy  0.7005  0.4011  0.2068
Dy  0.7173  0.4346  0.8055
Dy  0.2827  0.5654  0.3055
Dy  0.5220  0.0440  0.2374
Dy  0.2995  0.5989  0.7068
Tb  0.4153  0.8306  0.4540
Tb  0.5847  0.1694  0.9540
Er  0.1140  0.2280  0.3201
Er  0.8919  0.7837  0.2380
Er  0.8860  0.7720  0.8201
Er  0.1081  0.2163  0.7380
Pr  0.2026  0.4052  0.0104
Pr  0.7974  0.5948  0.5104

Results
Crystal system: orthorhombic
DFT formation energy, eV/atom: 0.16

A plane-wave DFT calculation with PBE was carried out for U3C after structural relaxation.

Unit cell a=3.5974 b=3.5979 c=5.1320 alpha=90.00 beta=90.00 gamma=90.00
Fractional positions:
U  0.0000  0.5000  0.3133
U  0.5000  0.0000  0.5198
U  0.5000  0.5000  0.9165
C  0.0000  0.0000  0.9169

Results
Crystal system: tetragonal
DFT formation energy, eV/atom: 0.29

A plane-wave DFT calculation with PBE was carried out for Mg2AlAg2 after structural relaxation.

Unit cell a=7.1680 b=7.1680 c=3.7489 alpha=90.00 beta=90.00 gamma=90.00
Fractional positions:
Ag  0.6428  0.1428  0.0000
Ag  0.8572  0.6428  0.0000
Ag  0.3572  0.8572  0.0000
Ag  0.1428  0.3572  0.0000
Mg  0.8409  0.3409  0.5000
Mg  0.6591  0.8409  0.5000
Mg  0.1591  0.6591  0.5000
Mg  0.3409  0.1591  0.5000
Al  0.0000  0.0000  0.0000
Al  0.5000  0.5000  0.0000

Results
Crystal system: tetragonal
DFT formation energy, eV/atom: -0.10

A plane-wave DFT calculation with PBE was carried out for LaEr2Tm9 after structural relaxation.

Unit cell a=3.4932 b=11.1016 c=11.1016 alpha=120.00 beta=90.00 gamma=90.00
Fractional positions:
Tm  0.5000  0.1800  0.3601
Tm  0.5000  0.1800  0.8200
Tm  0.0000  0.5000  0.0000
Tm  0.5000  0.6399  0.8200
Tm  0.5000  0.8200  0.1800
Tm  0.0000  0.5000  0.5000
Tm  0.5000  0.8200  0.6399
Tm  0.0000  0.0000  0.5000
Tm  0.5000  0.3601  0.1800
Er  0.0000  0.6667  0.3333
Er  0.0000  0.3333  0.6667
La  0.0000  0.0000  0.0000

Results
Crystal system: hexagonal
DFT formation energy, eV/atom: 0.04

| no. | theoretical density (g/cm3) |
| --- | --- |
| 1 | 3.952 |
| 2 | 8.699 |
| 3 | 8.147 |
| 4 | 18.152 |
| 5 | 5.023 |
| 6 | 8.880 |